Record 1
MgAl2Cl: single point on PBEsol structure, SCAN.

Cell lengths 5.047, 5.047, 5.047 Å; angles 126.75, 126.75, 78.66 degrees
Fractional coordinates of all 4 atoms:
Mg 0.000 0.000 0.000
Al 0.500 0.500 0.000
Al 0.750 0.250 0.500
Cl 0.250 0.750 0.500

energy above the most stable polymorph in this dataset: 263 meV per atom
formation energy (no corrections): 0.13 eV per atom
final energy: -6.98 eV/atom
total magnetization: 0.0001 μB per atom

=====

Record 2
MgAlCl2: single point on PBEsol structure, SCAN.

Cell lengths 10.296, 10.296, 10.296 Å; angles 19.09, 19.09, 19.09 degrees
Fractional coordinates of all 4 atoms:
Mg 0.000 0.000 0.000
Al 0.500 0.500 0.500
Cl 0.285 0.285 0.285
Cl 0.715 0.715 0.715

formation energy (no corrections): -1.10 eV per atom
final energy: -8.27 eV/atom
total magnetization: 0.0000 μB per atom

=====

Record 3
MgAl2Cl8: single point on PBEsol structure, SCAN.

Cell lengths 9.453, 9.453, 11.547 Å; angles 124.85, 124.85, 51.48 degrees
Fractional coordinates of all 22 atoms:
Mg 0.002 0.998 0.750
Mg 0.998 0.002 0.250
Al 0.161 0.670 0.468
Al 0.330 0.839 0.032
Al 0.670 0.161 0.968
Al 0.839 0.330 0.532
Cl 0.123 0.186 0.518
Cl 0.137 0.690 0.278
Cl 0.149 0.714 0.821
Cl 0.186 0.123 0.018
Cl 0.286 0.851 0.679
Cl 0.310 0.863 0.222
Cl 0.312 0.382 0.451
Cl 0.382 0.312 0.951
Cl 0.618 0.688 0.049
Cl 0.688 0.618 0.549
Cl 0.690 0.137 0.778
Cl 0.714 0.149 0.321
Cl 0.814 0.877 0.982
Cl 0.851 0.286 0.179
Cl 0.863 0.310 0.722
Cl 0.877 0.814 0.482

formation energy (no corrections): -1.80 eV per atom
final energy: -9.47 eV/atom
total magnetization: 0.0000 μB per atom

=====

Record 4
MnAl2Cl: single point on PBEsol structure, SCAN.

Cell lengths 5.300, 5.300, 5.300 Å; angles 147.12, 124.91, 65.66 degrees
Fractional coordinates of all 4 atoms:
Mn 0.000 0.000 0.000
Al 0.243 0.743 0.500
Al 0.757 0.257 0.500
Cl 0.500 0.500 0.000

energy above the most stable polymorph in this dataset: 108 meV per atom
formation energy (no corrections): 0.01 eV per atom
final energy: -10.42 eV/atom
total magnetization: 0.9586 μB per atom

=====

Record 5
MnAl2Cl: single point on PBEsol structure, SCAN.

Cell lengths 2.786, 4.767, 4.767 Å; angles 90.00, 90.00, 90.00 degrees
Fractional coordinates of all 4 atoms:
Mn 0.000 0.000 0.000
Al 0.500 0.000 0.501
Al 0.500 0.500 0.998
Cl 0.000 0.500 0.497

energy above the most stable polymorph in this dataset: 0 meV per atom
formation energy (no corrections): -0.09 eV per atom
final energy: -10.53 eV/atom
total magnetization: 0.8209 μB per atom

=====

Record 6
MnAl2Cl: single point on PBEsol structure, SCAN.

Cell lengths 5.431, 5.431, 4.413 Å; angles 95.22, 95.22, 31.08 degrees
Fractional coordinates of all 4 atoms:
Mn 0.000 0.000 0.000
Al 0.286 0.286 0.762
Al 0.714 0.714 0.238
Cl 0.500 0.500 0.500

energy above the most stable polymorph in this dataset: 42 meV per atom
formation energy (no corrections): -0.05 eV per atom
final energy: -10.49 eV/atom
total magnetization: 1.0044 μB per atom

=====

Q: Number 5 is which compound?
A: MnAl2Cl